# PBE Cs2K2Ba, relaxed
data_Cs2K2Ba
_chemical_formula_sum 'Cs4 K4 Ba2'
_space_group_name_H-M_alt 'I 4/m m m'
_space_group_IT_number 139
_space_group_name_Hall '-I 4 2'
_cell_length_a 5.775
_cell_length_b 5.775
_cell_length_c 27.559
_cell_angle_alpha 90.00
_cell_angle_beta 90.00
_cell_angle_gamma 90.00
loop_
_atom_site_label
_atom_site_fract_x
_atom_site_fract_y
_atom_site_fract_z
Cs1 0.000 0.000 0.104
K1 0.000 0.500 0.250
Ba1 0.000 0.000 0.500
# * energy of formation from the pure elements: 0.1872 eV/atom
# * magnetization: 0.19 μB per formula unit
# * DFT total energy: -0.98 eV per atom

# PBE CsKBa2, relaxed
data_CsKBa2
_chemical_formula_sum 'Cs1 K1 Ba2'
_space_group_name_H-M_alt 'P 4/m m m'
_space_group_IT_number 123
_space_group_name_Hall '-P 4 2'
_cell_length_a 4.472
_cell_length_b 4.472
_cell_length_c 14.984
_cell_angle_alpha 90.00
_cell_angle_beta 90.00
_cell_angle_gamma 90.00
loop_
_atom_site_label
_atom_site_fract_x
_atom_site_fract_y
_atom_site_fract_z
Cs1 0.000 0.000 0.000
K1 0.000 0.000 0.500
Ba1 0.500 0.500 0.268
# * energy of formation from the pure elements: 0.1537 eV/atom
# * magnetization: 0.00 μB per formula unit
# * DFT total energy: -1.30 eV per atom

# PBE Cs2K2Ba, relaxed
data_Cs2K2Ba
_chemical_formula_sum 'Cs4 K4 Ba2'
_space_group_name_H-M_alt 'P 4/m b m'
_space_group_IT_number 127
_space_group_name_Hall '-P 4 2ab'
_cell_length_a 13.075
_cell_length_b 13.075
_cell_length_c 4.909
_cell_angle_alpha 90.00
_cell_angle_beta 90.00
_cell_angle_gamma 90.00
loop_
_atom_site_label
_atom_site_fract_x
_atom_site_fract_y
_atom_site_fract_z
Cs1 0.133 0.367 0.000
K1 0.172 0.672 0.500
Ba1 0.000 0.000 0.000
# * energy of formation from the pure elements: 0.1440 eV/atom
# * magnetization: 0.00 μB per formula unit
# * DFT total energy: -1.02 eV per atom